Below is Mn3GeO6 after structural relaxation, with properties calculated at the PBE+U level.

Calculated values
Volume, Å³/cell: 674.44
Relative energy among the computed polymorphs, kJ per mole of atoms: 1.6

Structure (CIF):
```
data_Mn3GeO6
_chemical_formula_sum 'Mn18 Ge6 O36'
_cell_length_a 8.6363
_cell_length_b 8.6363
_cell_length_c 10.4415
_cell_angle_alpha 90.00
_cell_angle_beta 90.00
_cell_angle_gamma 120.00
_space_group_name_H-M_alt 'R -3'
_space_group_IT_number 148
_space_group_name_Hall '-R 3'
loop_
_atom_site_label
_atom_site_type_symbol
_atom_site_fract_x
_atom_site_fract_y
_atom_site_fract_z
Mn1 Mn 0.0472 0.7842 0.2061
Ge1 Ge 0.0000 0.0000 0.0000
Ge2 Ge 0.0000 0.0000 0.5000
O1 O 0.0338 0.8464 0.8844
O2 O 0.0367 0.8317 0.4030
```